1.
A plane-wave DFT calculation with PBE was carried out for an optimized crystal structure of SnHgS2.

```
data_SnHgS2
_cell_length_a 3.451
_cell_length_b 20.030
_cell_length_c 5.545
_cell_angle_alpha 90.00
_cell_angle_beta 90.00
_cell_angle_gamma 90.00
_space_group_name_H-M_alt 'C m c m'
_space_group_IT_number 63
_space_group_name_Hall '-C 2c 2'
loop_
_atom_site_label
_atom_site_type_symbol
_atom_site_fract_x
_atom_site_fract_y
_atom_site_fract_z
Sn1 Sn 0.000 0.067 0.250
Hg1 Hg 0.000 0.321 0.250
S1 S 0.000 0.075 0.750
S2 S 0.000 0.198 0.250
```

Values from the calculation:
As for the crystal system: orthorhombic. The density is 6.64 g/cm³. Its uncorrected formation energy is 0.10 eV per atom.

2.
A plane-wave DFT calculation with PBE was carried out for an optimized crystal structure of SnHgS2.

```
data_SnHgS2
_cell_length_a 7.250
_cell_length_b 3.905
_cell_length_c 13.911
_cell_angle_alpha 90.00
_cell_angle_beta 90.00
_cell_angle_gamma 90.00
_space_group_name_H-M_alt 'P n m a'
_space_group_IT_number 62
loop_
_space_group_symop_operation_xyz
'x,y,z'
'-x,-y,-z'
'-x+1/2,-y,z+1/2'
'x+1/2,y,-z+1/2'
'x+1/2,-y+1/2,-z+1/2'
'-x+1/2,y+1/2,z+1/2'
'-x,y+1/2,-z'
'x,-y+1/2,z'
loop_
_atom_site_label
_atom_site_type_symbol
_atom_site_fract_x
_atom_site_fract_y
_atom_site_fract_z
Sn1 Sn 0.130 0.250 0.103
Hg1 Hg 0.162 0.750 0.335
S1 S 0.077 0.750 0.731
S2 S 0.226 0.750 0.983
```

Values from the calculation:
As for the crystal system: orthorhombic. The density is 6.47 g/cm³. Its uncorrected formation energy is -0.09 eV per atom.

3.
A plane-wave DFT calculation with PBE was carried out for an optimized crystal structure of Sn2HgS2.

```
data_Sn2HgS2
_cell_length_a 8.384
_cell_length_b 8.384
_cell_length_c 3.786
_cell_angle_alpha 90.00
_cell_angle_beta 90.00
_cell_angle_gamma 90.00
_space_group_name_H-M_alt 'P 4/m b m'
_space_group_IT_number 127
_space_group_name_Hall '-P 4 2ab'
loop_
_atom_site_label
_atom_site_type_symbol
_atom_site_fract_x
_atom_site_fract_y
_atom_site_fract_z
Sn1 Sn 0.166 0.334 0.000
Hg1 Hg 0.000 0.000 0.000
S1 S 0.182 0.682 0.500
```

Values from the calculation:
As for the crystal system: tetragonal. The relative energy among the computed polymorphs comes out at 112 meV per atom. The density is 6.27 g/cm³. Its uncorrected formation energy is -0.17 eV per atom.